The following is a DFT calculation (PBE) of a relaxed structure of La8HgBi5.

Output
* formation energy from the elements: -0.831 eV/atom
* N(E_F): 14.84 states/eV/cell
* raw total energy: -0.371 Ry per atom
* SG: I-4

Cell and atoms, written as POSCAR:
```
La8HgBi5
1.0
-8.1021 2.0255 -1.7454
0.3249 -7.6600 3.7434
3.2447 5.9131 5.2250
Bi La Hg
5 8 1
direct
0.3767 0.1288 0.0040 Bi
0.9960 0.3728 0.1248 Bi
0.7521 0.6272 0.6233 Bi
0.8752 0.8712 0.2479 Bi
0.5000 0.0000 0.5000 Bi
0.1263 0.7524 0.5223 La
0.7699 0.2476 0.3739 La
0.9850 0.1117 0.7328 La
0.2672 0.2522 0.3789 La
0.4777 0.6040 0.2301 La
0.1268 0.7478 0.0150 La
0.6261 0.3960 0.8737 La
0.6211 0.8883 0.8732 La
0.2500 0.5000 0.7500 Hg
```

***

The following is a DFT calculation (PBE) of a relaxed structure of KYAl.

Output
* formation energy from the elements: 0.366 eV/atom
* N(E_F): 2.71 states/eV/cell
* raw total energy: -0.250 Ry per atom
* SG: P3m1

Cell and atoms, written as POSCAR:
```
KYAl
1.0
-2.0348 0.5133 -5.1053
-0.9304 -4.6089 2.8914
-2.6475 1.2770 1.1836
Y Al K
1 1 1
direct
0.3333 0.6667 0.5011 Y
0.0000 0.0000 0.9996 Al
0.6667 0.3333 0.4993 K
```

***

The following is a DFT calculation (PBE) of a relaxed structure of NiSe.

Output
* N(E_F): 2.10 states/eV/cell
* raw total energy: -0.345 Ry per atom
* ΔE_f (raw): -0.06 eV/atom
* SG: Imma

Cell and atoms, written as POSCAR:
```
NiSe
1.0
-6.3687 4.0480 1.5210
-7.1884 1.6904 -2.1748
6.0128 -4.5334 1.5983
Ni Se
2 2
direct
0.3196 0.0696 0.7500 Ni
0.6804 0.9304 0.2500 Ni
0.1210 0.3710 0.2500 Se
0.8790 0.6290 0.7500 Se
```

***

| no. | V (Å³ per cell) |
| --- | --- |
| 1 | 478 |
| 2 | 84 |
| 3 | 73 |